Below is a relaxed structure of Th2Sc, with properties calculated at the PBE level.

The structure in POSCAR format:
```
Th2Sc
1.0
-1.309 -0.100 -3.117
1.082 -3.185 -0.353
-13.689 -3.710 7.703
Th Sc
4 2
Cartesian
-4.187 -3.426 1.868 Th
-2.286 -2.485 -0.795 Th
-8.533 -5.111 3.747 Th
-11.629 -4.509 5.028 Th
-7.556 -2.726 1.425 Sc
0.000 0.000 0.000 Sc
```

Summary:
- ΔE_f: 0.195 eV/atom
- Offset from the most stable computed form: 158 meV/atom
- Symmetry: I4_1/amd (141)